# La5PmSmEr2 GGA-PBE relaxed
data_La5PmSmEr2
_symmetry_space_group_name_H-M 'C m c 21'
_symmetry_Int_Tables_number 36
_symmetry_space_group_name_Hall 'C 2c -2'
_cell_length_a 5.746
_cell_length_b 20.797
_cell_length_c 10.775
_cell_angle_alpha 90.00
_cell_angle_beta 90.00
_cell_angle_gamma 90.00
loop_
_atom_site_label
_atom_site_fract_x
_atom_site_fract_y
_atom_site_fract_z
_atom_site_occupancy
La1 0.000 0.015 0.000 1
La2 0.000 0.279 0.300 1
La3 0.000 0.294 0.688 1
La4 0.000 0.386 0.007 1
La5 0.000 0.483 0.729 1
Pm1 0.000 0.199 0.996 1
Sm1 0.000 0.408 0.444 1
Er1 0.000 0.113 0.723 1
Er2 0.000 0.115 0.294 1
# DFT formation energy   1.244 eV per formula unit
# N(E_F)   1.61 states/eV per atom
# Total moment   0.000 μB per formula unit